Entry 1:
{"formula": "LiZrPt2", "functional": "SCAN", "state": "single point on PBEsol structure", "crystal_system": "tetragonal", "dos_at_fermi_per_ev_atom": 0.410, "polymorph_energy_ev_per_atom": 0.0892, "formation_enthalpy_0k_mev_per_atom": -1015, "lattice_angstrom": [[-2.057, -3.109, 0.987], [1.149, -1.783, -3.220], [3.770, 0.899, 3.156]], "species": ["Pt", "Pt", "Zr", "Li"], "fractional_positions": [[0.000, 0.000, 0.000], [0.750, 0.250, 0.500], [0.500, 0.500, 0.000], [0.250, 0.750, 0.500]]}

Entry 2:
{"formula": "LiZrPt2", "functional": "SCAN", "state": "single point on PBEsol structure", "crystal_system": "tetragonal", "dos_at_fermi_per_ev_atom": 0.343, "polymorph_energy_ev_per_atom": 0.0189, "formation_enthalpy_0k_mev_per_atom": -1085, "lattice_angstrom": [[-2.071, -3.584, -1.486], [4.260, -0.508, 0.968], [-0.471, -3.281, 2.890]], "species": ["Pt", "Pt", "Zr", "Li"], "fractional_positions": [[0.500, 0.250, 0.250], [0.500, 0.750, 0.750], [0.000, 0.000, 0.000], [0.000, 0.500, 0.500]]}

Entry 3:
{"formula": "LiZrPt", "functional": "SCAN", "state": "single point on PBEsol structure", "crystal_system": "cubic", "dos_at_fermi_per_ev_atom": 1.171, "polymorph_energy_ev_per_atom": 0.0639, "formation_enthalpy_0k_mev_per_atom": -651, "lattice_angstrom": [[4.365, 0.000, 0.000], [2.182, 3.780, 0.000], [2.182, 1.260, 3.564]], "species": ["Li", "Pt", "Zr"], "fractional_positions": [[0.500, 0.500, 0.500], [0.250, 0.250, 0.250], [0.000, 0.000, 0.000]]}

Entry 4:
{"formula": "LiZrPt2", "functional": "SCAN", "state": "single point on PBEsol structure", "crystal_system": "tetragonal", "dos_at_fermi_per_ev_atom": 0.366, "polymorph_energy_ev_per_atom": 0.0000, "formation_enthalpy_0k_mev_per_atom": -1104, "lattice_angstrom": [[4.088, 0.000, 0.000], [0.000, 4.088, 0.000], [-2.044, -2.044, 3.726]], "species": ["Li", "Zr", "Pt", "Pt"], "fractional_positions": [[0.500, 0.000, 0.000], [0.000, 0.500, 0.000], [0.750, 0.750, 0.500], [0.250, 0.250, 0.500]]}